# 1
First-principles (PBE) data for crystalline CeCoSi2Ru at its relaxed geometry, as listed in Alexandria.

Theoretical density, Mg/m³: 7.312
Electronic total energy, eV per atom: -7.452
Total magnetic moment, μB per formula unit: 0.3
E_form (uncorrected), eV per atom: -0.82

abc: 4.056 4.056 9.838
angles: 90.00 90.00 90.00
Atoms (fractional coordinates):
Ce 0.000 0.000 0.000
Ce 0.500 0.500 0.500
Co 0.000 0.500 0.250
Co 0.500 0.000 0.750
Si 0.000 0.000 0.371
Si 0.000 0.000 0.629
Si 0.500 0.500 0.129
Si 0.500 0.500 0.871
Ru 0.000 0.500 0.750
Ru 0.500 0.000 0.250


# 2
First-principles (PBE) data for crystalline CeSmCoRu at its relaxed geometry, as listed in Alexandria.

Calculated formation energy, eV per atom: -0.15
Theoretical density, Mg/m³: 9.200
Electronic total energy, eV per atom: -6.910
Total magnetic moment, μB per formula unit: 0.5

abc: 6.877 6.877 6.877
angles: 90.00 90.00 90.00
Atoms (fractional coordinates):
Ce 0.000 0.000 0.000
Ce 0.000 0.500 0.500
Ce 0.500 0.000 0.500
Ce 0.500 0.500 0.000
Sm 0.000 0.000 0.500
Sm 0.000 0.500 0.000
Sm 0.500 0.000 0.000
Sm 0.500 0.500 0.500
Co 0.250 0.250 0.250
Co 0.250 0.750 0.750
Co 0.750 0.250 0.750
Co 0.750 0.750 0.250
Ru 0.250 0.250 0.750
Ru 0.250 0.750 0.250
Ru 0.750 0.250 0.250
Ru 0.750 0.750 0.750


Question: Among the records above, which one has the lowest electronic total energy?
Answer: CeCoSi2Ru